DFT (PBE) results for an optimized crystal structure of KMnTeMo2.

Calculated values
Crystal system: tetragonal
ΔE_f (raw) (eV per atom): 2.734

The structure in CIF format:
```
data_KMnTeMo2
_chemical_formula_sum 'K1 Mn1 Te1 Mo2'
_symmetry_space_group_name_H-M 'P 4/m m m'
_symmetry_Int_Tables_number 123
_symmetry_space_group_name_Hall '-P 4 2'
_cell_length_a 4.744
_cell_length_b 4.744
_cell_length_c 4.824
_cell_angle_alpha 90.00
_cell_angle_beta 90.00
_cell_angle_gamma 90.00
loop_
_atom_site_label
_atom_site_type_symbol
_atom_site_fract_x
_atom_site_fract_y
_atom_site_fract_z
K1 K 0.000 0.000 0.000
Mn1 Mn 0.000 0.000 0.500
Te1 Te 0.500 0.500 0.500
Mo1 Mo 0.000 0.500 0.000
```

---

DFT (PBE) results for an optimized crystal structure of Tm5Cd2Pd12.

Calculated values
Final energy (eV per formula unit): -97.09
Crystal system: monoclinic

The structure in CIF format:
```
data_Tm5Cd2Pd12
_chemical_formula_sum 'Tm10 Cd4 Pd24'
_symmetry_space_group_name_H-M 'C 1 2/m 1'
_symmetry_Int_Tables_number 12
_symmetry_space_group_name_Hall '-C 2y'
_cell_length_a 16.625
_cell_length_b 5.571
_cell_length_c 9.458
_cell_angle_alpha 90.00
_cell_angle_beta 115.87
_cell_angle_gamma 90.00
loop_
_atom_site_label
_atom_site_type_symbol
_atom_site_fract_x
_atom_site_fract_y
_atom_site_fract_z
Tm1 Tm 0.000 0.000 0.000
Tm2 Tm 0.159 0.500 0.371
Tm3 Tm 0.184 0.500 0.876
Cd1 Cd 0.000 0.250 0.500
Pd1 Pd 0.010 0.500 0.863
Pd2 Pd 0.107 0.000 0.810
Pd3 Pd 0.157 0.249 0.106
Pd4 Pd 0.185 0.239 0.627
```